{
  "formula": "CuRuBr2",
  "functional": "GGA-PBE",
  "state": "relaxed",
  "cell": [[3.6239, -3.6469, 0.0000], [3.6239, 3.6469, 0.0000], [-0.0710, 0.0000, 3.3656]],
  "species": ["Cu", "Ru", "Br", "Br"],
  "frac_coords": [[0.0000, 0.0000, 0.0000], [0.5000, 0.5000, 0.0000], [0.0000, 0.5000, 0.0000], [0.5000, 0.0000, 0.0000]],
  "polymorph_energy_mev_per_atom": 361
}

=====

{
  "formula": "KMo3Rh",
  "functional": "GGA-PBE",
  "state": "relaxed",
  "cell": [[4.4253, 0.0000, 0.0000], [0.0000, 4.4253, 0.0000], [0.0000, 0.0000, 4.4253]],
  "species": ["K", "Mo", "Mo", "Mo", "Rh"],
  "frac_coords": [[0.0000, 0.0000, 0.0000], [0.0000, 0.0000, 0.5000], [0.0000, 0.5000, 0.0000], [0.5000, 0.0000, 0.0000], [0.5000, 0.5000, 0.5000]],
  "polymorph_energy_mev_per_atom": 1227,
  "formation_energy_ev_per_atom": 3.012
}

=====

{
  "formula": "ZrHRu2Au",
  "functional": "GGA-PBE",
  "state": "relaxed",
  "cell": [[4.0506, 0.0000, 0.0000], [0.0000, 4.0506, 0.0000], [0.0000, 0.0000, 4.1108]],
  "species": ["Zr", "H", "Ru", "Ru", "Au"],
  "frac_coords": [[0.0000, 0.0000, 0.0000], [0.0000, 0.0000, 0.5000], [0.0000, 0.5000, 0.5000], [0.5000, 0.0000, 0.5000], [0.5000, 0.5000, 0.0000]]
}

=====

Number 1: VASP energy -14.3 eV/cell. Number 2: VASP energy -25.9 eV/cell. Number 3: VASP energy -34.9 eV/cell.